# 1
Density functional theory data (PBE) for crystalline Cd6In2Bi at its relaxed geometry.

Cell lengths 8.8633, 8.8633, 3.4247 Å; angles 90.00, 90.00, 120.00 degrees
Last column: nearest neighbours and their distance in Å.
Space group P6/mmm (No. 191)
One atom of each set of equivalent atoms:
Cd: 0.0000 0.3349 0.0000 x6  3 Cd 2.93-2.97
In: 0.3333 0.6667 0.5000 x2  12 Cd 3.41, 2 In 3.42
Bi: 0.0000 0.0000 0.5000 x1  2 Bi 3.42, 12 Cd 3.43

The calculation puts the formation enthalpy at 0 K at 0.08 eV per atom. Its calculated volume is 25.9 Å³/atom.

---

# 2
Density functional theory data (PBE) for crystalline Li5LaTl6 at its relaxed geometry.

Cell lengths 4.9509, 14.9557, 7.5901 Å; angles 90.00, 90.00, 90.00 degrees
Last column: nearest neighbours and their distance in Å.
Space group Cmmm (No. 65)
One atom of each set of equivalent atoms:
Li: 0.0000 0.0000 0.0000 x2  8 Tl 2.97-3.13
Li: 0.0000 0.3225 0.5000 x4  6 Tl 3.02-3.20, 2 Li 3.29
Li: 0.0000 0.3315 0.0000 x4  8 Tl 2.95-3.04
La: 0.0000 0.0000 0.5000 x2  8 Tl 3.28-3.29, 4 Li 3.63
Tl: 0.0000 0.1732 0.2326 x8  7 Li 2.95-3.20, 1 La 3.29
Tl: 0.0000 0.5000 0.2165 x4  4 Li 2.97-3.01, 2 La 3.28, 1 Tl 3.29

The calculation puts the formation enthalpy at 0 K at -0.25 eV per atom. Its calculated volume is 23.4 Å³/atom.

---

# 3
Density functional theory data (PBE) for crystalline Nd2CuSb4Pd3 at its relaxed geometry.

Cell lengths 4.4983, 4.4983, 11.2071 Å; angles 90.00, 90.00, 90.00 degrees
Last column: nearest neighbours and their distance in Å.
Space group P-4m2 (No. 115)
One atom of each set of equivalent atoms:
Nd: 0.0000 0.5000 0.2318 x2  8 Sb 3.38-3.75, 2 Cu 3.44, 6 Pd 3.44-3.49
Cu: 0.5000 0.5000 0.0000 x1  4 Sb 2.67
Sb: 0.0000 0.0000 0.5000 x1  4 Pd 2.74
Sb: 0.0000 0.5000 0.8712 x2  3 Pd 2.60-2.67, 2 Cu 2.67
Sb: 0.5000 0.5000 0.5000 x1  4 Pd 2.74
Pd: 0.0000 0.0000 0.0000 x1  4 Sb 2.67
Pd: 0.0000 0.5000 0.6392 x2  5 Sb 2.60-2.74

Its calculated volume is 22.7 Å³/atom. The formation energy without anion corrections comes out at -0.72 eV/atom.

---

# 4
Density functional theory data (PBE) for crystalline FeSI2 at its relaxed geometry.

Cell lengths 7.2374, 7.2374, 9.7358 Å; angles 90.00, 90.00, 90.00 degrees
Last column: nearest neighbours and their distance in Å.
Space group I-42d (No. 122)
One atom of each set of equivalent atoms:
Fe: 0.0000 0.0000 0.0000 x4  4 I 2.59
S: 0.0000 0.0000 0.5000 x4  4 I 3.11
I: 0.1931 0.2500 0.1250 x8  2 Fe 2.59

The energy above the most stable polymorph in this dataset comes out at 0.00 eV/f.u. Its calculated volume is 31.9 Å³/atom. The formation energy without anion corrections comes out at 0.57 eV/atom.

---

# 5
Density functional theory data (PBE) for crystalline Pm4Ge2Cl at its relaxed geometry.

Cell lengths 5.0913, 5.0913, 15.7204 Å; angles 90.00, 90.00, 90.00 degrees
Last column: nearest neighbours and their distance in Å.
Space group I4/mmm (No. 139)
One atom of each set of equivalent atoms:
Pm: 0.0000 0.0000 0.1812 x4  1 Cl 2.85, 1 Ge 2.96
Pm: 0.0000 0.5000 0.0000 x4  2 Cl 2.55
Ge: 0.0000 0.0000 0.3693 x4  5 Pm 2.96-3.27
Cl: 0.0000 0.0000 0.0000 x2  6 Pm 2.55-2.85

The energy above the most stable polymorph in this dataset comes out at 2.51 eV/f.u. Its calculated volume is 29.1 Å³/atom. The formation energy without anion corrections comes out at -0.58 eV/atom.

---

# 6
Density functional theory data (PBE) for crystalline Tl2HgW at its relaxed geometry.

Cell lengths 6.3321, 9.3638, 3.0803 Å; angles 90.00, 102.92, 90.00 degrees
Last column: nearest neighbours and their distance in Å.
Space group C2/m (No. 12)
One atom of each set of equivalent atoms:
Tl: 0.2500 0.2500 0.0000 x4  4 Hg 3.04-3.38, 4 W 3.04-3.38, 4 Tl 3.08-3.17
Hg: 0.0000 0.0000 0.5000 x2  8 Tl 3.04-3.38, 2 Hg 3.08, 2 W 3.17
W: 0.0000 0.5000 0.5000 x2  8 Tl 3.04-3.38, 2 W 3.08, 2 Hg 3.17

The calculation puts the formation enthalpy at 0 K at 0.91 eV per atom. The energy above the most stable polymorph in this dataset comes out at 0.78 eV/f.u. Its calculated volume is 22.3 Å³/atom.

---

# 7
Density functional theory data (PBE) for crystalline CaAuN2O at its relaxed geometry.

Cell lengths 4.5645, 4.5645, 4.3373 Å; angles 90.00, 90.00, 90.00 degrees
Last column: nearest neighbours and their distance in Å.
Space group P4/mmm (No. 123)
One atom of each set of equivalent atoms:
Ca: 0.0000 0.0000 0.0000 x1  2 O 2.17, 4 N 2.28
Au: 0.5000 0.5000 0.5000 x1  8 N 3.15, 4 O 3.23
N: 0.0000 0.5000 0.0000 x2  2 Ca 2.28
O: 0.0000 0.0000 0.5000 x1  2 Ca 2.17

Its calculated volume is 18.1 Å³/atom. The formation energy without anion corrections comes out at 1.65 eV/atom.

---

# 8
Density functional theory data (PBE) for crystalline Ga2SbTeMo at its relaxed geometry.

Cell lengths 5.3557, 5.3557, 5.8714 Å; angles 90.00, 90.00, 90.00 degrees
Last column: nearest neighbours and their distance in Å.
Space group P4/mmm (No. 123)
One atom of each set of equivalent atoms:
Ga: 0.0000 0.5000 0.0000 x2  2 Te 2.68
Sb: 0.0000 0.0000 0.5000 x1  2 Te 2.94
Te: 0.0000 0.0000 0.0000 x1  4 Ga 2.68, 2 Sb 2.94
Mo: 0.5000 0.5000 0.5000 x1  4 Sb 3.79, 8 Ga 3.97

Its calculated volume is 33.7 Å³/atom. The formation energy without anion corrections comes out at 1.33 eV/atom.

---

# 9
Density functional theory data (PBE) for crystalline ZnReN2O at its relaxed geometry.

Cell lengths 3.9250, 3.9250, 3.8409 Å; angles 90.00, 90.00, 90.00 degrees
Last column: nearest neighbours and their distance in Å.
Space group P4/mmm (No. 123)
One atom of each set of equivalent atoms:
Zn: 0.0000 0.0000 0.0000 x1  8 N 2.75, 4 O 2.78
Re: 0.5000 0.5000 0.5000 x1  2 O 1.92, 4 N 1.96
N: 0.0000 0.5000 0.5000 x2  2 Re 1.96
O: 0.5000 0.5000 0.0000 x1  2 Re 1.92

Its calculated volume is 11.8 Å³/atom. The formation energy without anion corrections comes out at 0.13 eV/atom.

---

# 10
Density functional theory data (PBE) for crystalline Ir3RuN at its relaxed geometry.

Cell lengths 4.0683, 4.0683, 4.0683 Å; angles 90.00, 90.00, 90.00 degrees
Last column: nearest neighbours and their distance in Å.
Space group Pm-3m (No. 221)
One atom of each set of equivalent atoms:
Ir: 0.0000 0.0000 0.5000 x3  2 N 2.03
Ru: 0.5000 0.5000 0.5000 x1  12 Ir 2.88
N: 0.0000 0.0000 0.0000 x1  6 Ir 2.03

The energy above the most stable polymorph in this dataset comes out at 0.00 eV/f.u. Its calculated volume is 13.5 Å³/atom. The formation energy without anion corrections comes out at 0.80 eV/atom.

---

# 11
Density functional theory data (PBE) for crystalline Ca5Mn at its relaxed geometry.

Cell lengths 6.8323, 6.8323, 6.3708 Å; angles 90.00, 90.00, 120.00 degrees
Last column: nearest neighbours and their distance in Å.
Space group P6/mmm (No. 191)
One atom of each set of equivalent atoms:
Ca: 0.0000 0.5000 0.0000 x3  8 Ca 3.42-3.75
Ca: 0.3333 0.6667 0.5000 x2  9 Ca 3.75-3.94, 3 Mn 3.94
Mn: 0.0000 0.0000 0.5000 x1  6 Ca 3.94

The calculation puts the formation enthalpy at 0 K at 0.65 eV per atom. The energy above the most stable polymorph in this dataset comes out at 2.87 eV/f.u. Its calculated volume is 42.9 Å³/atom.

---

# 12
Density functional theory data (PBE) for crystalline Tm2Th at its relaxed geometry.

Cell lengths 9.0878, 9.0878, 9.0878 Å; angles 90.00, 90.00, 90.00 degrees
Last column: nearest neighbours and their distance in Å.
Space group Fd-3m (No. 227, origin choice 2)
One atom of each set of equivalent atoms:
Tm: 0.0000 0.0000 0.0000 x16  6 Tm 3.21
Th: 0.1250 0.1250 0.6250 x8  12 Tm 3.77, 4 Th 3.94

The calculation puts the formation enthalpy at 0 K at 0.35 eV per atom. The energy above the most stable polymorph in this dataset comes out at 1.09 eV/f.u. Its calculated volume is 31.3 Å³/atom.

---

Question: What is the calculated volume in the third record?
Answer: 22.7 Å³/atom